Record 1
This record from Alexandria describes an optimized crystal structure of RbScS3. The functional is PBE-GGA. Values from VASP.

Mass density (g/cm3): 2.6
N(E_F) (states/eV per cell): 1.90
Total moment (Bohr magnetons per cell): 0.00
Space group: No. 221
Energy above the lowest structure with this stoichiometry (meV per atom): 1841
Raw formation energy (kJ per mole of atoms): 79

Quantum ESPRESSO input file:
```
&SYSTEM
  ibrav = 0, nat = 5, ntyp = 3
/
ATOMIC_SPECIES
Rb 85.47 Rb.upf
Sc 44.96 Sc.upf
S 32.06 S.upf
CELL_PARAMETERS angstrom
5.225 0.000 0.000
0.000 5.225 0.000
0.000 0.000 5.225
ATOMIC_POSITIONS crystal
Rb 0.000 0.000 0.000
Sc 0.500 0.500 0.500
S 0.000 0.000 0.500
S 0.000 0.500 0.000
S 0.500 0.000 0.000
```

***

Record 2
This record from Alexandria describes an optimized crystal structure of TeAsW2. The functional is PBE-GGA. Values from VASP.

Mass density (g/cm3): 13.9
N(E_F) (states/eV per cell): 3.48
Total moment (Bohr magnetons per cell): 0.00
Space group: No. 123
Energy above the lowest structure with this stoichiometry (meV per atom): 401
Raw formation energy (kJ per mole of atoms): 56

Quantum ESPRESSO input file:
```
&SYSTEM
  ibrav = 0, nat = 4, ntyp = 3
/
ATOMIC_SPECIES
Te 127.60 Te.upf
As 74.92 As.upf
W 183.84 W.upf
CELL_PARAMETERS angstrom
4.573 0.000 0.000
0.000 4.573 0.000
0.000 0.000 3.252
ATOMIC_POSITIONS crystal
Te 0.000 0.000 0.000
As 0.500 0.500 0.000
W 0.000 0.500 0.500
W 0.500 0.000 0.500
```

***

Record 3
This record from Alexandria describes an optimized crystal structure of HfScGeO6. The functional is PBE-GGA. Values from VASP.

Mass density (g/cm3): 6.2
N(E_F) (states/eV per cell): 10.68
Total moment (Bohr magnetons per cell): 1.20
Space group: No. 102
Raw formation energy (kJ per mole of atoms): -247

Quantum ESPRESSO input file:
```
&SYSTEM
  ibrav = 0, nat = 18, ntyp = 4
/
ATOMIC_SPECIES
Hf 178.49 Hf.upf
Sc 44.96 Sc.upf
Ge 72.64 Ge.upf
O 16.00 O.upf
CELL_PARAMETERS angstrom
4.744 0.000 0.000
0.000 4.744 0.000
0.000 0.000 9.388
ATOMIC_POSITIONS crystal
Hf 0.000 0.000 0.000
Hf 0.500 0.500 0.500
Sc 0.000 0.000 0.665
Sc 0.500 0.500 0.165
Ge 0.000 0.000 0.333
Ge 0.500 0.500 0.833
O 0.188 0.188 0.179
O 0.191 0.191 0.485
O 0.212 0.212 0.837
O 0.288 0.712 0.337
O 0.309 0.691 0.985
O 0.312 0.688 0.679
O 0.688 0.312 0.679
O 0.691 0.309 0.985
O 0.712 0.288 0.337
O 0.788 0.788 0.837
O 0.809 0.809 0.485
O 0.812 0.812 0.179
```